# 1
Gd3Ge13Ir4 | GGA-PBEsol | optimized geometry

## Properties
Density ... 10.126 g/cm³
Calculated formation energy ... -11.6 eV/f.u.
DOS at the Fermi energy ... 7.460 states/eV/f.u.
Crystal system ... cubic

Cell lengths 8.9488, 8.9488, 8.9488 Å; angles 90.00, 90.00, 90.00 degrees
Last column: nearest neighbours and their distance in Å.
Fractional positions:
Gd 0.0000 0.2500 0.5000  12 Ge 3.11-3.22, 4 Ir 3.16
Gd 0.0000 0.7500 0.5000  12 Ge 3.11-3.22, 4 Ir 3.16
Gd 0.2500 0.5000 0.0000  12 Ge 3.11-3.22, 4 Ir 3.16
Gd 0.5000 0.0000 0.2500  12 Ge 3.11-3.22, 4 Ir 3.16
Gd 0.5000 0.0000 0.7500  12 Ge 3.11-3.22, 4 Ir 3.16
Gd 0.7500 0.5000 0.0000  12 Ge 3.11-3.22, 4 Ir 3.16
Ge 0.0000 0.0000 0.0000  12 Ge 3.04
Ge 0.0000 0.3074 0.1452  2 Ir 2.48, 1 Ge 2.60
Ge 0.0000 0.3074 0.8548  2 Ir 2.48, 1 Ge 2.60
Ge 0.0000 0.6926 0.1452  2 Ir 2.48, 1 Ge 2.60
Ge 0.0000 0.6926 0.8548  2 Ir 2.48, 1 Ge 2.60
Ge 0.1452 0.0000 0.3074  2 Ir 2.48, 1 Ge 2.60
Ge 0.1452 0.0000 0.6926  2 Ir 2.48, 1 Ge 2.60
Ge 0.1926 0.5000 0.3548  2 Ir 2.48, 1 Ge 2.60
Ge 0.1926 0.5000 0.6452  2 Ir 2.48, 1 Ge 2.60
Ge 0.3074 0.1452 0.0000  2 Ir 2.48, 1 Ge 2.60
Ge 0.3074 0.8548 0.0000  2 Ir 2.48, 1 Ge 2.60
Ge 0.3548 0.1926 0.5000  2 Ir 2.48, 1 Ge 2.60
Ge 0.3548 0.8074 0.5000  2 Ir 2.48, 1 Ge 2.60
Ge 0.5000 0.3548 0.1926  2 Ir 2.48, 1 Ge 2.60
Ge 0.5000 0.3548 0.8074  2 Ir 2.48, 1 Ge 2.60
Ge 0.5000 0.5000 0.5000  12 Ge 3.04
Ge 0.5000 0.6452 0.1926  2 Ir 2.48, 1 Ge 2.60
Ge 0.5000 0.6452 0.8074  2 Ir 2.48, 1 Ge 2.60
Ge 0.6452 0.1926 0.5000  2 Ir 2.48, 1 Ge 2.60
Ge 0.6452 0.8074 0.5000  2 Ir 2.48, 1 Ge 2.60
Ge 0.6926 0.1452 0.0000  2 Ir 2.48, 1 Ge 2.60
Ge 0.6926 0.8548 0.0000  2 Ir 2.48, 1 Ge 2.60
Ge 0.8074 0.5000 0.3548  2 Ir 2.48, 1 Ge 2.60
Ge 0.8074 0.5000 0.6452  2 Ir 2.48, 1 Ge 2.60
Ge 0.8548 0.0000 0.3074  2 Ir 2.48, 1 Ge 2.60
Ge 0.8548 0.0000 0.6926  2 Ir 2.48, 1 Ge 2.60
Ir 0.2500 0.2500 0.2500  6 Ge 2.48
Ir 0.2500 0.2500 0.7500  6 Ge 2.48
Ir 0.2500 0.7500 0.2500  6 Ge 2.48
Ir 0.2500 0.7500 0.7500  6 Ge 2.48
Ir 0.7500 0.2500 0.2500  6 Ge 2.48
Ir 0.7500 0.2500 0.7500  6 Ge 2.48
Ir 0.7500 0.7500 0.2500  6 Ge 2.48
Ir 0.7500 0.7500 0.7500  6 Ge 2.48

***

# 2
Ta4InHg | GGA-PBEsol | optimized geometry

## Properties
Density ... 14.846 g/cm³
Calculated formation energy ... 2.8 eV/f.u.
DOS at the Fermi energy ... 4.500 states/eV/f.u.
Crystal system ... cubic

Cell lengths 5.4780, 5.4780, 5.4780 Å; angles 60.00, 60.00, 60.00 degrees
Last column: nearest neighbours and their distance in Å.
Fractional positions:
Ta 0.1244 0.1244 0.1244  6 Ta 2.73-2.75
Ta 0.1244 0.1244 0.6269  6 Ta 2.73-2.75
Ta 0.1244 0.6269 0.1244  6 Ta 2.73-2.75
Ta 0.6269 0.1244 0.1244  6 Ta 2.73-2.75
In 0.7500 0.7500 0.7500  12 Ta 3.21, 4 Hg 3.35
Hg 0.5000 0.5000 0.5000  12 Ta 3.21, 4 In 3.35

***

# 3
HgAsSe2Br | GGA-PBEsol | optimized geometry

## Properties
Formation energy without anion corrections ... 0.861 eV/atom
Density ... 6.144 g/cm³
DOS at the Fermi energy ... 7.435 states/eV/f.u.
Crystal system ... tetragonal

Cell lengths 5.1139, 5.1139, 5.3052 Å; angles 90.00, 90.00, 90.00 degrees
Last column: nearest neighbours and their distance in Å.
Fractional positions:
Hg 0.0000 0.0000 0.0000  4 Se 2.56, 2 As 2.65
As 0.0000 0.0000 0.5000  2 Hg 2.65
Se 0.0000 0.5000 0.0000  2 Hg 2.56
Se 0.5000 0.0000 0.0000  2 Hg 2.56
Br 0.5000 0.5000 0.5000  4 As 3.62, 8 Se 3.68